Material: PrYMgRu
Method: DFT, PBE-GGA
State: optimized geometry Values from VASP.

Structure (Quantum ESPRESSO input):
```
&SYSTEM
  ibrav = 0, nat = 4, ntyp = 4
/
ATOMIC_SPECIES
Pr 140.91 Pr.upf
Y 88.91 Y.upf
Mg 24.30 Mg.upf
Ru 101.07 Ru.upf
CELL_PARAMETERS angstrom
3.512 0.000 0.000
0.000 3.512 0.000
0.000 0.000 8.247
ATOMIC_POSITIONS crystal
Pr 0.500 0.500 0.777
Y 0.500 0.500 0.365
Mg 0.000 0.000 0.083
Ru 0.000 0.000 0.560
```

Results
For the formation energy, the calculation gives -0.18 eV/atom. The total magnetization is 0.0 μB per cell. Its theoretical density is 5.80 Mg/m³. The space-group type is P4mm (99).



Material: Pr4MgZn2Ru
Method: DFT, PBE-GGA
State: optimized geometry Values from VASP.

Structure (Quantum ESPRESSO input):
```
&SYSTEM
  ibrav = 0, nat = 8, ntyp = 4
/
ATOMIC_SPECIES
Pr 140.91 Pr.upf
Zn 65.41 Zn.upf
Mg 24.30 Mg.upf
Ru 101.07 Ru.upf
CELL_PARAMETERS angstrom
-1.580 4.476 2.302
-0.149 0.351 5.261
7.499 4.439 2.560
ATOMIC_POSITIONS crystal
Pr 0.614 0.614 0.159
Zn 0.262 0.262 0.213
Mg 0.000 0.000 0.000
Pr 0.133 0.133 0.601
Pr 0.867 0.867 0.399
Zn 0.738 0.738 0.787
Pr 0.386 0.386 0.841
Ru 0.500 0.500 0.500
```

Results
For the formation energy, the calculation gives -0.22 eV/atom. The total magnetization is 0.0 μB per cell. Its theoretical density is 6.60 Mg/m³. The space-group type is R-3m (166).



Material: PrMgZnRu
Method: DFT, PBE-GGA
State: optimized geometry Values from VASP.

Structure (Quantum ESPRESSO input):
```
&SYSTEM
  ibrav = 0, nat = 4, ntyp = 4
/
ATOMIC_SPECIES
Ru 101.07 Ru.upf
Zn 65.41 Zn.upf
Pr 140.91 Pr.upf
Mg 24.30 Mg.upf
CELL_PARAMETERS angstrom
4.866 0.000 0.000
2.433 4.214 0.000
2.433 1.405 3.973
ATOMIC_POSITIONS crystal
Ru 0.250 0.250 0.250
Zn 0.750 0.750 0.750
Pr 0.500 0.500 0.500
Mg 0.000 0.000 0.000
```

Results
For the formation energy, the calculation gives -0.02 eV/atom. The total magnetization is 0.0 μB per cell. Its theoretical density is 6.76 Mg/m³. The space-group type is F-43m (216).



Material: PrMgS2
Method: DFT, PBE-GGA
State: optimized geometry Values from VASP.

Structure (Quantum ESPRESSO input):
```
&SYSTEM
  ibrav = 0, nat = 4, ntyp = 3
/
ATOMIC_SPECIES
Pr 140.91 Pr.upf
Mg 24.30 Mg.upf
S 32.06 S.upf
CELL_PARAMETERS angstrom
-1.732 0.064 3.420
-1.088 -3.280 1.660
5.000 -1.516 4.709
ATOMIC_POSITIONS crystal
Pr 0.500 0.500 0.500
Mg 0.000 0.000 0.000
S 0.739 0.739 0.784
S 0.261 0.261 0.216
```

Results
The total magnetization is 0.0 μB per cell. Its theoretical density is 4.48 Mg/m³. The space-group type is R-3m (166). Its uncorrected formation energy is -1.6170 eV per atom.



Material: PrMgS3
Method: DFT, PBE-GGA
State: optimized geometry Values from VASP.

Structure (Quantum ESPRESSO input):
```
&SYSTEM
  ibrav = 0, nat = 10, ntyp = 3
/
ATOMIC_SPECIES
S 32.06 S.upf
Mg 24.30 Mg.upf
Pr 140.91 Pr.upf
CELL_PARAMETERS angstrom
5.722 4.047 0.104
-5.722 4.047 0.104
0.000 3.062 6.184
ATOMIC_POSITIONS crystal
S 0.237 0.928 0.140
S 0.928 0.237 0.140
S 0.072 0.763 0.860
Mg 0.341 0.659 0.000
Pr 0.215 0.215 0.741
Mg 0.659 0.341 0.000
Pr 0.785 0.785 0.259
S 0.763 0.072 0.860
S 0.426 0.426 0.280
S 0.574 0.574 0.720
```

Results
The total magnetization is 2.0 μB per cell. Its theoretical density is 3.07 Mg/m³. The space-group type is C2/m (12). Its uncorrected formation energy is -1.2289 eV per atom.



Material: PrMgS2
Method: DFT, PBE-GGA
State: optimized geometry Values from VASP.

Structure (Quantum ESPRESSO input):
```
&SYSTEM
  ibrav = 0, nat = 4, ntyp = 3
/
ATOMIC_SPECIES
Pr 140.91 Pr.upf
Mg 24.30 Mg.upf
S 32.06 S.upf
CELL_PARAMETERS angstrom
3.834 0.000 0.000
1.917 3.320 0.000
1.917 1.107 6.775
ATOMIC_POSITIONS crystal
Pr 0.500 0.500 0.501
Mg 0.669 0.669 0.994
S 0.071 0.071 0.787
S 0.261 0.261 0.217
```

Results
The total magnetization is 0.9 μB per cell. Its theoretical density is 4.42 Mg/m³. The space-group type is R3m (160). Its uncorrected formation energy is -1.6088 eV per atom.



> Which value of theoretical density does entry 1 give?

5.80 Mg/m³